VASP calculation (PBE) on Fe2Co after structural relaxation.

```
data_Fe2Co
_chemical_formula_sum 'Fe8 Co4'
_cell_length_a 11.8686
_cell_length_b 11.8686
_cell_length_c 11.8686
_cell_angle_alpha 163.19
_cell_angle_beta 163.19
_cell_angle_gamma 23.87
_space_group_name_H-M_alt 'P 1'
_space_group_IT_number 1
loop_
_space_group_symop_operation_xyz
'x,y,z'
loop_
_atom_site_label
_atom_site_type_symbol
_atom_site_fract_x
_atom_site_fract_y
_atom_site_fract_z
Fe1 Fe 0.5837 0.5837 0.0000
Co1 Co 0.3338 0.8338 0.5000
Fe2 Fe 0.7498 0.7498 0.0000
Fe3 Fe 0.4163 0.4163 0.0000
Co2 Co 0.1662 0.6662 0.5000
Fe4 Fe 0.6663 0.1663 0.5000
Co3 Co 0.0838 0.0838 0.0000
Fe5 Fe 0.8337 0.3337 0.5000
Fe6 Fe 0.2502 0.2502 0.0000
Co4 Co 0.9162 0.9162 0.0000
Fe7 Fe 0.9998 0.4998 0.5000
Fe8 Fe 0.5002 0.0002 0.5000
```

Values from the calculation:
Magnetic moment = 6.883 μB/f.u.
DFT formation energy = 67 meV per atom
N(E_F) = 2.80 states/eV/f.u.
E_tot = -7.94 eV/atom

---

VASP calculation (PBE) on SrNdCuPd after structural relaxation.

```
data_SrNdCuPd
_chemical_formula_sum 'Sr1 Nd1 Cu1 Pd1'
_cell_length_a 5.1845
_cell_length_b 5.1845
_cell_length_c 5.1845
_cell_angle_alpha 60.00
_cell_angle_beta 60.00
_cell_angle_gamma 60.00
_space_group_name_H-M_alt 'P 1'
_space_group_IT_number 1
loop_
_space_group_symop_operation_xyz
'x,y,z'
loop_
_atom_site_label
_atom_site_type_symbol
_atom_site_fract_x
_atom_site_fract_y
_atom_site_fract_z
Cu1 Cu 0.7500 0.7500 0.7500
Nd1 Nd 0.0000 0.0000 0.0000
Sr1 Sr 0.5000 0.5000 0.5000
Pd1 Pd 0.2500 0.2500 0.2500
```

Values from the calculation:
Magnetic moment = 0.000 μB/f.u.
DFT formation energy = -324 meV per atom
N(E_F) = 4.06 states/eV/f.u.
E_tot = -4.26 eV/atom

---

VASP calculation (PBE) on Dy2MnAl after structural relaxation.

```
data_Dy2MnAl
_chemical_formula_sum 'Dy2 Mn1 Al1'
_cell_length_a 3.4165
_cell_length_b 3.4165
_cell_length_c 9.6642
_cell_angle_alpha 79.82
_cell_angle_beta 79.82
_cell_angle_gamma 60.00
_space_group_name_H-M_alt 'P 1'
_space_group_IT_number 1
loop_
_space_group_symop_operation_xyz
'x,y,z'
loop_
_atom_site_label
_atom_site_type_symbol
_atom_site_fract_x
_atom_site_fract_y
_atom_site_fract_z
Al1 Al 0.5000 0.5000 0.5000
Dy1 Dy 0.7479 0.7479 0.7562
Mn1 Mn 0.0000 0.0000 0.0000
Dy2 Dy 0.2521 0.2521 0.2438
```

Values from the calculation:
Magnetic moment = 3.163 μB/f.u.
DFT formation energy = 160 meV per atom
N(E_F) = 3.36 states/eV/f.u.
ΔE to the lowest computed polymorph = 263.6 meV/atom
E_tot = -5.37 eV/atom

---

What is the magnetic moment in the third record? 3.163 μB/f.u.